Entry 1:
A geometry-optimized NdCoSiH structure, computed with PBE-GGA.

Unit cell a=3.8990 b=3.8990 c=7.8658 alpha=90.00 beta=90.00 gamma=90.00
Last column: nearest neighbours and their distance in Å.
Space group P4/nmm (No. 129, origin choice 2)
Symmetry-distinct sites (fractional):
Nd1 0.2500 0.2500 0.1713 [2 per cell]  4 H 2.37
Co1 0.2500 0.7500 0.5000 [2 per cell]  4 Si 2.27
Si1 0.2500 0.2500 0.6491 [2 per cell]  4 Co 2.27
H1 0.2500 0.7500 0.0000 [2 per cell]  4 Nd 2.37


Entry 2:
A geometry-optimized TiCdAs2 structure, computed with PBE-GGA.

Excess energy over the best structure of this formula in the dataset   0.001 eV/atom
Energy of formation   -0.3018 eV/atom

Unit cell a=3.8169 b=3.8169 c=19.6728 alpha=90.00 beta=90.00 gamma=120.00
Last column: nearest neighbours and their distance in Å.
Space group R3m (No. 160, hexagonal axes)
Symmetry-distinct sites (fractional):
Ti1 0.0000 0.0000 0.0000 [3 per cell]  6 As 2.61-2.65
Cd1 0.0000 0.0000 0.8345 [3 per cell]  6 As 2.87-2.89
As1 0.0000 0.0000 0.4077 [3 per cell]  3 Ti 2.65, 3 Cd 2.87
As2 0.0000 0.0000 0.5959 [3 per cell]  3 Ti 2.61, 3 Cd 2.89


Entry 3:
A geometry-optimized Sc3NiAu2 structure, computed with PBE-GGA.

Energy of formation   -0.6785 eV/atom

Unit cell a=4.7170 b=4.7170 c=11.6274 alpha=90.00 beta=90.00 gamma=120.00
Last column: nearest neighbours and their distance in Å.
Space group P-3m1 (No. 164)
Symmetry-distinct sites (fractional):
Sc1 0.0000 0.0000 0.2427 [2 per cell]  5 Au 2.82-2.99, 3 Ni 2.84
Sc2 0.3333 0.6667 0.4093 [2 per cell]  1 Ni 2.75, 6 Au 2.90-2.92
Sc3 0.3333 0.6667 0.9191 [2 per cell]  4 Au 2.81-2.88, 4 Ni 2.93-2.95
Ni1 0.3333 0.6667 0.1732 [2 per cell]  8 Sc 2.75-2.95
Au1 0.0000 0.0000 0.0000 [1 per cell]  8 Sc 2.82-2.88
Au2 0.0000 0.0000 0.5000 [1 per cell]  8 Sc 2.92-2.99
Au3 0.3333 0.6667 0.6772 [2 per cell]  8 Sc 2.81-3.12


Number 1: DFT total energy -5.88 eV per atom. Number 2: DFT total energy -4.83 eV per atom. Number 3: DFT total energy -5.90 eV per atom.